1.
## TmNpPb2S6 (PBE)

Data for an optimized crystal structure of TmNpPb2S6.

Unit cell a=6.895 b=7.335 c=10.036 alpha=90.00 beta=89.34 gamma=90.00
Site moments in Bohr magnetons follow the coordinates.
Sites, in units of the cell vectors:
S (0.192, 0.190, 0.443)  -0.08
S (0.380, 0.966, 0.747)  -0.08
S (0.120, 0.466, 0.753)  -0.08
S (0.692, 0.310, 0.943)  -0.08
S (0.316, 0.699, 0.437)  -0.07
S (0.808, 0.810, 0.557)  -0.08
S (0.880, 0.534, 0.247)  -0.08
S (0.684, 0.301, 0.563)  -0.07
S (0.816, 0.801, 0.937)  -0.07
S (0.184, 0.199, 0.063)  -0.07
S (0.620, 0.034, 0.253)  -0.08
S (0.308, 0.690, 0.057)  -0.08
Pb (0.975, 0.075, 0.745)  -0.01
Pb (0.475, 0.425, 0.245)  -0.01
Pb (0.525, 0.575, 0.755)  -0.01
Pb (0.025, 0.925, 0.255)  -0.01
Np (0.000, 0.500, 0.000)  2.63
Np (0.500, 0.000, 0.500)  2.63
Tm (0.000, 0.500, 0.500)  -0.04
Tm (0.500, 0.000, 0.000)  -0.04

Computed properties:
* uncorrected energy: -6.03 eV/atom
* calculated volume: 25.375 A^3/atom
* space group: No. 14
* raw formation energy: -1034 kJ/mol of formula units


2.
## NpZnPb2S5 (PBE)

Data for an optimized crystal structure of NpZnPb2S5.

Unit cell a=3.997 b=8.905 c=12.630 alpha=90.00 beta=90.00 gamma=102.97
Site moments in Bohr magnetons follow the coordinates.
Sites, in units of the cell vectors:
Zn (0.442, 0.884, 0.440)  0.00
Zn (0.558, 0.116, 0.940)  0.00
S (0.307, 0.614, 0.386)  -0.09
S (0.693, 0.386, 0.886)  -0.09
S (0.498, 0.995, 0.779)  -0.01
S (0.049, 0.098, 0.043)  -0.04
S (0.641, 0.282, 0.506)  -0.05
S (0.285, 0.571, 0.667)  -0.09
S (0.502, 0.005, 0.279)  -0.01
S (0.715, 0.429, 0.167)  -0.09
S (0.951, 0.902, 0.543)  -0.04
S (0.359, 0.718, 0.006)  -0.05
Pb (0.883, 0.766, 0.815)  0.01
Pb (0.117, 0.234, 0.315)  0.01
Pb (0.105, 0.209, 0.662)  0.00
Pb (0.895, 0.791, 0.162)  0.00
Np (0.205, 0.410, 0.026)  3.25
Np (0.795, 0.590, 0.526)  3.25

Computed properties:
* uncorrected energy: -5.50 eV/atom
* calculated volume: 24.335 A^3/atom
* space group: No. 36
* raw formation energy: -695 kJ/mol of formula units


3.
## NpSbPb2 (PBE)

Data for an optimized crystal structure of NpSbPb2.

Unit cell a=5.036 b=4.683 c=4.683 alpha=90.00 beta=90.00 gamma=90.00
Site moments in Bohr magnetons follow the coordinates.
Sites, in units of the cell vectors:
Sb (0.500, 0.000, 0.000)  -0.04
Pb (0.000, 0.500, 0.000)  -0.01
Pb (0.000, 0.000, 0.500)  -0.01
Np (0.500, 0.500, 0.500)  4.02

Computed properties:
* uncorrected energy: -6.12 eV/atom
* calculated volume: 27.612 A^3/atom
* space group: No. 123
* raw formation energy: 1 kJ/mol of formula units


4.
## Np2SbPb (PBE)

Data for an optimized crystal structure of Np2SbPb.

Unit cell a=4.476 b=4.862 c=4.862 alpha=90.00 beta=90.00 gamma=90.00
Site moments in Bohr magnetons follow the coordinates.
Sites, in units of the cell vectors:
Sb (0.500, 0.000, 0.000)  -0.06
Np (0.000, 0.500, 0.000)  4.30
Np (0.000, 0.000, 0.500)  4.30
Pb (0.500, 0.500, 0.500)  -0.03

Computed properties:
* uncorrected energy: -8.37 eV/atom
* calculated volume: 26.448 A^3/atom
* space group: No. 123
* raw formation energy: 21 kJ/mol of formula units
* polymorph energy (0 for the lowest one): 0.012 eV/atom


5.
## NpSb2Pb (PBE)

Data for an optimized crystal structure of NpSb2Pb.

Unit cell a=4.334 b=4.334 c=8.304 alpha=74.88 beta=74.88 gamma=60.00
Site moments in Bohr magnetons follow the coordinates.
Sites, in units of the cell vectors:
Sb (0.087, 0.087, 0.738)  -0.11
Sb (0.245, 0.245, 0.266)  -0.12
Np (0.499, 0.499, 0.502)  3.71
Pb (0.668, 0.668, 0.995)  -0.04

Computed properties:
* uncorrected energy: -6.16 eV/atom
* calculated volume: 32.195 A^3/atom
* space group: No. 160
* raw formation energy: 24 kJ/mol of formula units
* polymorph energy (0 for the lowest one): 0.163 eV/atom


6.
## NpSb2Pb (PBE)

Data for an optimized crystal structure of NpSb2Pb.

Unit cell a=4.349 b=4.986 c=4.986 alpha=90.00 beta=90.00 gamma=90.00
Site moments in Bohr magnetons follow the coordinates.
Sites, in units of the cell vectors:
Sb (0.000, 0.000, 0.500)  0.07
Sb (0.000, 0.500, 0.000)  0.07
Pb (0.500, 0.000, 0.000)  0.00
Np (0.500, 0.500, 0.500)  -3.89

Computed properties:
* uncorrected energy: -6.31 eV/atom
* calculated volume: 27.029 A^3/atom
* space group: No. 123
* raw formation energy: -32 kJ/mol of formula units
* polymorph energy (0 for the lowest one): 0.018 eV/atom


7.
## Np2SbPb (PBE)

Data for an optimized crystal structure of Np2SbPb.

Unit cell a=4.103 b=4.103 c=8.706 alpha=76.37 beta=76.37 gamma=60.00
Site moments in Bohr magnetons follow the coordinates.
Sites, in units of the cell vectors:
Np (0.745, 0.745, 0.765)  3.93
Np (0.255, 0.255, 0.235)  3.93
Pb (0.500, 0.500, 0.500)  -0.01
Sb (0.000, 0.000, 0.000)  -0.12

Computed properties:
* uncorrected energy: -8.21 eV/atom
* calculated volume: 30.536 A^3/atom
* space group: No. 166
* raw formation energy: 84 kJ/mol of formula units
* polymorph energy (0 for the lowest one): 0.176 eV/atom


8.
## Np2Sb4Pb (PBE)

Data for an optimized crystal structure of Np2Sb4Pb.

Unit cell a=4.285 b=4.285 c=11.381 alpha=90.00 beta=90.00 gamma=90.00
Site moments in Bohr magnetons follow the coordinates.
Sites, in units of the cell vectors:
Sb (0.500, 0.500, 0.500)  -0.06
Sb (0.000, 0.500, 0.789)  -0.08
Sb (0.500, 0.000, 0.211)  -0.08
Sb (0.000, 0.000, 0.500)  -0.05
Pb (0.500, 0.500, 0.000)  0.02
Np (0.500, 0.000, 0.713)  3.80
Np (0.000, 0.500, 0.287)  3.80

Computed properties:
* uncorrected energy: -6.71 eV/atom
* calculated volume: 29.849 A^3/atom
* space group: No. 115
* raw formation energy: -86 kJ/mol of formula units


9.
## Np2SbPb (PBE)

Data for an optimized crystal structure of Np2SbPb.

Unit cell a=3.462 b=3.462 c=8.852 alpha=90.00 beta=90.00 gamma=90.00
Site moments in Bohr magnetons follow the coordinates.
Sites, in units of the cell vectors:
Np (0.000, 0.000, 0.235)  4.23
Np (0.000, 0.000, 0.765)  4.23
Pb (0.500, 0.500, 0.500)  -0.06
Sb (0.500, 0.500, 0.000)  -0.07

Computed properties:
* uncorrected energy: -8.39 eV/atom
* calculated volume: 26.519 A^3/atom
* space group: No. 123
* raw formation energy: 16 kJ/mol of formula units
* polymorph energy (0 for the lowest one): 0.000 eV/atom


10.
## NpSb2Pb (PBE)

Data for an optimized crystal structure of NpSb2Pb.

Unit cell a=4.457 b=4.457 c=7.954 alpha=73.73 beta=73.73 gamma=60.00
Site moments in Bohr magnetons follow the coordinates.
Sites, in units of the cell vectors:
Sb (0.743, 0.743, 0.772)  -0.10
Sb (0.257, 0.257, 0.228)  -0.10
Np (0.000, 0.000, 0.000)  3.61
Pb (0.500, 0.500, 0.500)  -0.04

Computed properties:
* uncorrected energy: -6.23 eV/atom
* calculated volume: 32.375 A^3/atom
* space group: No. 166
* raw formation energy: -4 kJ/mol of formula units
* polymorph energy (0 for the lowest one): 0.090 eV/atom


11.
## NpSb2Pb (PBE)

Data for an optimized crystal structure of NpSb2Pb.

Unit cell a=4.102 b=4.102 c=6.571 alpha=90.00 beta=90.00 gamma=90.00
Site moments in Bohr magnetons follow the coordinates.
Sites, in units of the cell vectors:
Pb (0.500, 0.500, 0.500)  0.04
Sb (0.000, 0.000, 0.768)  -0.06
Sb (0.000, 0.000, 0.232)  -0.06
Np (0.500, 0.500, 0.000)  3.94

Computed properties:
* uncorrected energy: -6.32 eV/atom
* calculated volume: 27.639 A^3/atom
* space group: No. 123
* raw formation energy: -39 kJ/mol of formula units
* polymorph energy (0 for the lowest one): 0.000 eV/atom


12.
## NpScPb2 (PBE)

Data for an optimized crystal structure of NpScPb2.

Unit cell a=4.454 b=4.861 c=4.861 alpha=90.00 beta=90.00 gamma=90.00
Site moments in Bohr magnetons follow the coordinates.
Sites, in units of the cell vectors:
Sc (0.500, 0.500, 0.500)  0.48
Pb (0.000, 0.500, 0.000)  -0.03
Pb (0.000, 0.000, 0.500)  -0.03
Np (0.500, 0.000, 0.000)  4.19

Computed properties:
* uncorrected energy: -6.65 eV/atom
* calculated volume: 26.312 A^3/atom
* space group: No. 123
* polymorph energy (0 for the lowest one): 0.058 eV/atom